TlTe2IrAuSe after structural relaxation, computed with PBE.

The structure belongs to space group Cmcm (No. 63); the cell edges are 4.0265, 14.2223 and 10.9579 Å and the angles 90.00°, 90.00° and 90.00°. The asymmetric unit holds Tl at (0.0000, 0.2276, 0.2500), Te at (0.0000, 0.1218, 0.5046), Ir at (0.0000, 0.5000, 0.0000), Au at (0.0000, 0.1212, 0.7500) and Se at (0.0000, 0.4860, 0.7500).

The spin magnetization comes out at 0.04 μB per cell. Its calculated density is 9.82 Mg/m³. For the final energy, the calculation gives -4.10 eV per atom.

---

SmTeAsO after structural relaxation, computed with PBE.

The structure belongs to space group P4/nmm (No. 129, origin choice 2); the cell edges are 5.7457, 5.7457 and 5.2109 Å and the angles 90.00°, 90.00° and 90.00°. The asymmetric unit holds Sm at (0.2500, 0.7500, 0.0000), Te at (0.2500, 0.2500, 0.3604), As at (0.2500, 0.2500, 0.8469) and O at (0.2500, 0.7500, 0.5000).

The spin magnetization comes out at 0.01 μB per cell. The calculation puts the energy above the most stable polymorph in this dataset at 0.564 eV per atom. Its calculated density is 7.12 Mg/m³.

---

Pr2TeAs after structural relaxation, computed with PBE.

The structure belongs to space group Pmmn (No. 59, origin choice 2); the cell edges are 4.3674, 6.2443 and 8.9822 Å and the angles 90.00°, 90.00° and 90.00°. The asymmetric unit holds Pr at (0.2500, 0.2500, 0.1078), Pr at (0.2500, 0.2500, 0.6564), Te at (0.2500, 0.7500, 0.6189) and As at (0.2500, 0.7500, 0.1213).

The spin magnetization comes out at 0.00 μB per cell. Its calculated density is 6.57 Mg/m³. For the final energy, the calculation gives -5.87 eV per atom.

---

RbCuTe2MoS after structural relaxation, computed with PBE.

The structure belongs to space group Cmcm (No. 63); the cell edges are 3.9775, 16.3784 and 9.9099 Å and the angles 90.00°, 90.00° and 90.00°. The asymmetric unit holds Rb at (0.0000, 0.2352, 0.2500), Cu at (0.0000, 0.0186, 0.7500), Te at (0.0000, 0.1169, 0.5488), Mo at (0.0000, 0.5000, 0.0000) and S at (0.0000, 0.4465, 0.7500).

The spin magnetization comes out at 7.99 μB per cell. Its calculated density is 5.48 Mg/m³. For the final energy, the calculation gives -4.66 eV per atom.

---

DyAlTc after structural relaxation, computed with PBE.

The structure belongs to space group F-43m (No. 216); the cell edges are 6.3532, 6.3532 and 6.3532 Å and the angles 90.00°, 90.00° and 90.00°. The asymmetric unit holds Dy at (0.0000, 0.0000, 0.0000), Al at (0.2500, 0.2500, 0.2500) and Tc at (0.0000, 0.0000, 0.5000).

The spin magnetization comes out at 0.07 μB per cell. Its calculated density is 7.45 Mg/m³. For the final energy, the calculation gives -5.98 eV per atom.

---

LaSmNi after structural relaxation, computed with PBE.

The structure belongs to space group Amm2 (No. 38); the cell edges are 5.1427, 12.2882 and 7.0803 Å and the angles 90.00°, 90.00° and 90.00°. The asymmetric unit holds La at (0.0000, 0.0000, 0.0000), La at (0.0000, 0.2283, 0.6873), Sm at (0.0000, 0.0000, 0.4582), Sm at (0.5000, 0.1666, 0.9597), Ni at (0.5000, 0.0000, 0.6796) and Ni at (0.5000, 0.1103, 0.3499).

The spin magnetization comes out at 0.86 μB per cell. The calculation puts the energy above the most stable polymorph in this dataset at 0.130 eV per atom. Its calculated density is 7.75 Mg/m³. The calculation puts the energy of formation at 0.06 eV per atom.

---

Ho2ErCo9 after structural relaxation, computed with PBE.

The structure belongs to space group R-3m (No. 166, hexagonal axes); the cell edges are 4.9262, 4.9262 and 24.1800 Å and the angles 90.00°, 90.00° and 120.00°. The asymmetric unit holds Ho at (0.0000, 0.0000, 0.1397), Er at (0.0000, 0.0000, 0.0000), Co at (0.0000, 0.0000, 0.3346), Co at (0.0000, 0.0000, 0.5000) and Co at (0.0022, 0.5011, 0.9187).

The spin magnetization comes out at 31.55 μB per cell. Its calculated density is 10.07 Mg/m³. The calculation puts the energy of formation at -0.19 eV per atom.

---

TaNbSb4 after structural relaxation, computed with PBE.

The structure belongs to space group Cm (No. 8); the cell edges are 10.3527, 3.6788 and 8.4015 Å and the angles 90.00°, 120.24° and 90.00°. The asymmetric unit holds Ta at (0.0000, 0.0000, 0.0000), Nb at (0.1979, 0.5000, 0.6214), Sb at (0.2005, 0.5000, 0.2752), Sb at (0.2539, 0.0000, 0.9232), Sb at (0.4439, 0.0000, 0.6983) and Sb at (0.4975, 0.5000, 0.3455).

The spin magnetization comes out at 0.01 μB per cell. Its calculated density is 9.14 Mg/m³. For the final energy, the calculation gives -6.62 eV per atom.